{"formula": "ErTcPd", "functional": "GGA-PBE", "state": "relaxed", "space_group": "No. 216", "e_above_lowest_polymorph_mev_per_atom": 418, "crystal_system": "cubic", "total_magnetization_mub_per_fu": 2.28, "lattice": [[6.394, 0.000, 0.000], [0.000, 6.394, 0.000], [0.000, 0.000, 6.394]], "species": ["Er", "Er", "Er", "Er", "Tc", "Tc", "Tc", "Tc", "Pd", "Pd", "Pd", "Pd"], "fractional_positions": [[0.000, 0.000, 0.000], [0.000, 0.500, 0.500], [0.500, 0.000, 0.500], [0.500, 0.500, 0.000], [0.250, 0.250, 0.250], [0.250, 0.750, 0.750], [0.750, 0.250, 0.750], [0.750, 0.750, 0.250], [0.250, 0.250, 0.750], [0.250, 0.750, 0.250], [0.750, 0.250, 0.250], [0.750, 0.750, 0.750]]}



{"formula": "Er2Te6Pd", "functional": "GGA-PBE", "state": "relaxed", "space_group": "No. 189", "total_energy_ev_per_fu": -39.9, "crystal_system": "hexagonal", "total_magnetization_mub_per_fu": 0.00, "lattice": [[8.317, 0.000, 0.000], [-4.158, 7.202, 0.000], [0.000, 0.000, 4.019]], "species": ["Er", "Er", "Te", "Te", "Te", "Te", "Te", "Te", "Pd"], "fractional_positions": [[0.333, 0.667, 0.000], [0.667, 0.333, 0.000], [0.000, 0.233, 0.000], [0.000, 0.550, 0.500], [0.233, 0.000, 0.000], [0.450, 0.450, 0.500], [0.550, 0.000, 0.500], [0.767, 0.767, 0.000], [0.000, 0.000, 0.500]]}



{"formula": "Er7Te2Pd2", "functional": "GGA-PBE", "state": "relaxed", "space_group": "No. 44", "total_energy_ev_per_fu": -57.9, "crystal_system": "orthorhombic", "total_magnetization_mub_per_fu": 0.02, "lattice": [[-1.954, 7.802, 4.787], [1.954, -7.802, 4.787], [1.954, 7.802, -4.787]], "species": ["Er", "Er", "Er", "Er", "Er", "Er", "Er", "Te", "Te", "Pd", "Pd"], "fractional_positions": [[0.000, 0.000, 0.000], [0.287, 0.416, 0.871], [0.307, 0.625, 0.683], [0.546, 0.416, 0.129], [0.622, 0.266, 0.356], [0.909, 0.266, 0.644], [0.942, 0.625, 0.317], [0.264, 0.764, 0.500], [0.662, 0.662, 0.000], [0.166, 0.928, 0.237], [0.691, 0.928, 0.763]]}



{"formula": "ErTlTe3Pd", "functional": "GGA-PBE", "state": "relaxed", "space_group": "No. 63", "e_above_lowest_polymorph_mev_per_atom": 0, "crystal_system": "orthorhombic", "total_magnetization_mub_per_fu": 0.00, "lattice": [[2.117, -8.393, 0.000], [2.117, 8.393, 0.000], [0.000, 0.000, 10.399]], "species": ["Er", "Er", "Tl", "Tl", "Te", "Te", "Te", "Te", "Te", "Te", "Pd", "Pd"], "fractional_positions": [[0.000, 0.000, 0.000], [0.000, 0.000, 0.500], [0.241, 0.759, 0.750], [0.759, 0.241, 0.250], [0.093, 0.907, 0.250], [0.375, 0.625, 0.073], [0.375, 0.625, 0.427], [0.625, 0.375, 0.573], [0.625, 0.375, 0.927], [0.907, 0.093, 0.750], [0.490, 0.510, 0.250], [0.510, 0.490, 0.750]]}



{"formula": "ErTlTe3Pd", "functional": "GGA-PBE", "state": "relaxed", "space_group": "No. 11", "e_above_lowest_polymorph_mev_per_atom": 19, "crystal_system": "monoclinic", "total_magnetization_mub_per_fu": 0.00, "lattice": [[8.932, 0.000, 0.000], [0.000, 4.183, 0.000], [-4.162, 0.000, 10.080]], "species": ["Er", "Er", "Tl", "Tl", "Te", "Te", "Te", "Te", "Te", "Te", "Pd", "Pd"], "fractional_positions": [[0.194, 0.250, 0.152], [0.806, 0.750, 0.848], [0.237, 0.750, 0.704], [0.763, 0.250, 0.296], [0.060, 0.250, 0.854], [0.275, 0.250, 0.460], [0.444, 0.750, 0.153], [0.556, 0.250, 0.847], [0.725, 0.750, 0.540], [0.940, 0.750, 0.146], [0.407, 0.750, 0.387], [0.593, 0.250, 0.613]]}



{"formula": "Er3Tm4Te2Pd2", "functional": "GGA-PBE", "state": "relaxed", "space_group": "No. 44", "total_energy_ev_per_fu": -57.5, "crystal_system": "orthorhombic", "total_magnetization_mub_per_fu": 0.01, "lattice": [[-1.950, 7.782, 4.774], [1.950, -7.782, 4.774], [1.950, 7.782, -4.774]], "species": ["Er", "Er", "Er", "Tm", "Tm", "Tm", "Tm", "Te", "Te", "Pd", "Pd"], "fractional_positions": [[0.000, 0.000, 0.000], [0.058, 0.375, 0.683], [0.692, 0.375, 0.317], [0.091, 0.734, 0.356], [0.378, 0.734, 0.644], [0.454, 0.583, 0.871], [0.713, 0.583, 0.129], [0.338, 0.338, 0.000], [0.735, 0.235, 0.500], [0.309, 0.071, 0.237], [0.834, 0.071, 0.763]]}



{"formula": "Er6TmTe2Pd2", "functional": "GGA-PBE", "state": "relaxed", "space_group": "No. 44", "total_energy_ev_per_fu": -57.8, "crystal_system": "orthorhombic", "total_magnetization_mub_per_fu": 0.01, "lattice": [[-1.951, 7.802, 4.786], [1.951, -7.802, 4.786], [1.951, 7.802, -4.786]], "species": ["Er", "Er", "Er", "Er", "Er", "Er", "Tm", "Te", "Te", "Pd", "Pd"], "fractional_positions": [[0.109, 0.792, 0.317], [0.129, 0.000, 0.129], [0.475, 0.792, 0.683], [0.507, 0.151, 0.357], [0.794, 0.151, 0.643], [0.871, 0.000, 0.871], [0.417, 0.417, 0.000], [0.152, 0.652, 0.500], [0.754, 0.754, 0.000], [0.251, 0.488, 0.763], [0.725, 0.488, 0.237]]}



{"formula": "Y5Er2Te2Pd2", "functional": "GGA-PBE", "state": "relaxed", "space_group": "No. 44", "total_energy_ev_per_fu": -67.6, "crystal_system": "orthorhombic", "total_magnetization_mub_per_fu": 0.02, "lattice": [[-1.971, 7.864, 4.810], [1.971, -7.864, 4.810], [1.971, 7.864, -4.810]], "species": ["Y", "Y", "Y", "Y", "Y", "Er", "Er", "Te", "Te", "Pd", "Pd"], "fractional_positions": [[0.000, 0.000, 0.000], [0.287, 0.415, 0.873], [0.542, 0.415, 0.127], [0.619, 0.262, 0.357], [0.906, 0.262, 0.643], [0.305, 0.622, 0.683], [0.939, 0.622, 0.317], [0.261, 0.761, 0.500], [0.663, 0.663, 0.000], [0.167, 0.930, 0.237], [0.693, 0.930, 0.763]]}



{"formula": "ErThPd", "functional": "GGA-PBE", "state": "relaxed", "space_group": "No. 216", "e_above_lowest_polymorph_mev_per_atom": 0, "crystal_system": "cubic", "total_magnetization_mub_per_fu": 0.00, "lattice": [[6.977, 0.000, 0.000], [0.000, 6.977, 0.000], [0.000, 0.000, 6.977]], "species": ["Er", "Er", "Er", "Er", "Th", "Th", "Th", "Th", "Pd", "Pd", "Pd", "Pd"], "fractional_positions": [[0.000, 0.000, 0.000], [0.000, 0.500, 0.500], [0.500, 0.000, 0.500], [0.500, 0.500, 0.000], [0.000, 0.000, 0.500], [0.000, 0.500, 0.000], [0.500, 0.000, 0.000], [0.500, 0.500, 0.500], [0.250, 0.250, 0.250], [0.250, 0.750, 0.750], [0.750, 0.250, 0.750], [0.750, 0.750, 0.250]]}



{"formula": "ErThPd6", "functional": "GGA-PBE", "state": "relaxed", "space_group": "No. 123", "total_energy_ev_per_fu": -50.8, "crystal_system": "tetragonal", "total_magnetization_mub_per_fu": 0.01, "lattice": [[4.153, 0.000, 0.000], [0.000, 4.153, 0.000], [0.000, 0.000, 8.262]], "species": ["Er", "Th", "Pd", "Pd", "Pd", "Pd", "Pd", "Pd"], "fractional_positions": [[0.000, 0.000, 0.000], [0.000, 0.000, 0.500], [0.000, 0.500, 0.247], [0.000, 0.500, 0.753], [0.500, 0.000, 0.247], [0.500, 0.000, 0.753], [0.500, 0.500, 0.000], [0.500, 0.500, 0.500]]}



{"formula": "Er6TlPd2", "functional": "GGA-PBE", "state": "relaxed", "space_group": "No. 71", "total_energy_ev_per_fu": -44.9, "crystal_system": "orthorhombic", "total_magnetization_mub_per_fu": 0.00, "lattice": [[-4.697, 4.863, 5.149], [4.697, -4.863, 5.149], [4.697, 4.863, -5.149]], "species": ["Er", "Er", "Er", "Er", "Er", "Er", "Er", "Er", "Er", "Er", "Er", "Er", "Tl", "Tl", "Pd", "Pd", "Pd", "Pd"], "fractional_positions": [[0.035, 0.237, 0.798], [0.183, 0.290, 0.473], [0.183, 0.710, 0.893], [0.328, 0.028, 0.700], [0.328, 0.628, 0.300], [0.438, 0.237, 0.202], [0.562, 0.763, 0.798], [0.672, 0.372, 0.700], [0.672, 0.972, 0.300], [0.817, 0.290, 0.107], [0.817, 0.710, 0.527], [0.965, 0.763, 0.202], [0.000, 0.000, 0.000], [0.500, 0.500, 0.000], [0.134, 0.634, 0.500], [0.347, 0.000, 0.347], [0.653, 0.000, 0.653], [0.866, 0.366, 0.500]]}



{"formula": "ErTlPd", "functional": "GGA-PBE", "state": "relaxed", "space_group": "No. 216", "e_above_lowest_polymorph_mev_per_atom": 0, "crystal_system": "cubic", "total_magnetization_mub_per_fu": 0.08, "lattice": [[6.685, 0.000, 0.000], [0.000, 6.685, 0.000], [0.000, 0.000, 6.685]], "species": ["Er", "Er", "Er", "Er", "Tl", "Tl", "Tl", "Tl", "Pd", "Pd", "Pd", "Pd"], "fractional_positions": [[0.000, 0.000, 0.000], [0.000, 0.500, 0.500], [0.500, 0.000, 0.500], [0.500, 0.500, 0.000], [0.000, 0.000, 0.500], [0.000, 0.500, 0.000], [0.500, 0.000, 0.000], [0.500, 0.500, 0.500], [0.250, 0.250, 0.250], [0.250, 0.750, 0.750], [0.750, 0.250, 0.750], [0.750, 0.750, 0.250]]}



{"formula": "ErTmTlPd2", "functional": "GGA-PBE", "state": "relaxed", "space_group": "No. 38", "total_energy_ev_per_fu": -25.6, "crystal_system": "orthorhombic", "total_magnetization_mub_per_fu": 0.01, "lattice": [[3.617, 0.000, 0.000], [0.000, 4.102, 0.000], [0.000, 0.000, 15.005]], "species": ["Er", "Er", "Tm", "Tm", "Tl", "Tl", "Pd", "Pd", "Pd", "Pd"], "fractional_positions": [[0.000, 0.000, 0.000], [0.000, 0.500, 0.500], [0.000, 0.000, 0.270], [0.000, 0.500, 0.770], [0.500, 0.000, 0.635], [0.500, 0.500, 0.135], [0.500, 0.000, 0.444], [0.500, 0.000, 0.825], [0.500, 0.500, 0.325], [0.500, 0.500, 0.944]]}